BaB4Rh3O12: relaxed, PBE-GGA.

Computed properties:
The calculation puts the total DFT energy (no corrections) at -0.265 hartree per atom. The crystal system is trigonal. As for the space-group type: No. 155.

abc: 6.2447 6.2447 6.2447
angles: 102.95 102.95 102.95
Positions (direct):
Ba 0.0000 0.0000 0.0000
B 0.0638 0.5000 0.9362
B 0.5000 0.5000 0.5000
B 0.5000 0.9362 0.0638
B 0.9362 0.0638 0.5000
Rh 0.0000 0.5586 0.4414
Rh 0.4414 0.0000 0.5586
Rh 0.5586 0.4414 0.0000
O 0.0165 0.6056 0.7710
O 0.0827 0.9173 0.5000
O 0.2290 0.3944 0.9835
O 0.3566 0.6434 0.5000
O 0.3944 0.9835 0.2290
O 0.5000 0.0827 0.9173
O 0.5000 0.3566 0.6434
O 0.6056 0.7710 0.0165
O 0.6434 0.5000 0.3566
O 0.7710 0.0165 0.6056
O 0.9173 0.5000 0.0827
O 0.9835 0.2290 0.3944



Rb4Ti3S14: relaxed, PBE-GGA.

Computed properties:
The calculation puts the total DFT energy (no corrections) at -0.186 hartree per atom. The crystal system is monoclinic. As for the space-group type: No. 15.

abc: 11.5505 11.5505 13.7455
angles: 112.37 112.37 42.19
Positions (direct):
Rb 0.1192 0.4811 0.3903
Rb 0.1679 0.6931 0.8540
Rb 0.3069 0.8321 0.6460
Rb 0.4811 0.1192 0.8903
Rb 0.5189 0.8808 0.1097
Rb 0.6931 0.1679 0.3540
Rb 0.8321 0.3069 0.1460
Rb 0.8808 0.5189 0.6097
Ti 0.0890 0.5761 0.0834
Ti 0.2649 0.7351 0.2500
Ti 0.4239 0.9110 0.4166
Ti 0.5761 0.0890 0.5834
Ti 0.7351 0.2649 0.7500
Ti 0.9110 0.4239 0.9166
S 0.0246 0.8362 0.0849
S 0.0664 0.4903 0.9021
S 0.0707 0.7394 0.2861
S 0.1097 0.1833 0.3975
S 0.1638 0.9754 0.4151
S 0.1833 0.1097 0.8975
S 0.2606 0.9293 0.2139
S 0.3065 0.6178 0.3899
S 0.3144 0.3415 0.6613
S 0.3415 0.3144 0.1613
S 0.3822 0.6935 0.1101
S 0.3953 0.4333 0.1320
S 0.4333 0.3953 0.6320
S 0.4903 0.0664 0.4021
S 0.5097 0.9336 0.5979
S 0.5667 0.6047 0.3680
S 0.6047 0.5667 0.8680
S 0.6178 0.3065 0.8899
S 0.6585 0.6856 0.8387
S 0.6856 0.6585 0.3387
S 0.6935 0.3822 0.6101
S 0.7394 0.0707 0.7861
S 0.8167 0.8903 0.1025
S 0.8362 0.0246 0.5849
S 0.8903 0.8167 0.6025
S 0.9293 0.2606 0.7139
S 0.9336 0.5097 0.0979
S 0.9754 0.1638 0.9151



> Which of these has the highest total DFT energy (no corrections)?

Rb4Ti3S14



> The highest total DFT energy (no corrections) belongs to which entry?

Rb4Ti3S14



> Look up the total DFT energy (no corrections) of the first one.

-0.265 hartree per atom